VASP calculation (PBE with a Hubbard U) on a relaxed KMnCr2F8 crystal.

```
data_KMnCr2F8
_cell_length_a 5.0787
_cell_length_b 6.7598
_cell_length_c 5.0833
_cell_angle_alpha 90.00
_cell_angle_beta 92.61
_cell_angle_gamma 90.00
_space_group_name_H-M_alt 'P 1'
_space_group_IT_number 1
loop_
_space_group_symop_operation_xyz
'x,y,z'
loop_
_atom_site_label
_atom_site_type_symbol
_atom_site_fract_x
_atom_site_fract_y
_atom_site_fract_z
_atom_site_occupancy
K1 K 0.0000 0.0000 0.0000 1
Mn1 Mn 0.0000 0.5000 0.0000 1
Cr1 Cr 0.5000 0.2574 0.5000 1
Cr2 Cr 0.5000 0.7426 0.5000 1
F1 F 0.2231 0.2862 0.2178 1
F2 F 0.2231 0.7138 0.2178 1
F3 F 0.3117 0.5000 0.6840 1
F4 F 0.3382 0.0000 0.6566 1
F5 F 0.6618 0.0000 0.3434 1
F6 F 0.6883 0.5000 0.3160 1
F7 F 0.7769 0.2862 0.7822 1
F8 F 0.7769 0.7138 0.7822 1
```

Values from the calculation:
Final energy = -70.37 eV per cell
DOS at the Fermi energy = 0.05 states/eV/atom